Record 1
Density functional theory data (PBE) for an optimized crystal structure of Li2MgPS4.

Output
The value obtained for the total energy is -4.232 eV per atom. The value obtained for the density of states at the Fermi level is 0.53 states/eV/atom. For the total magnetic moment, the calculation gives 0.002 μB per formula unit. The calculation puts the formation energy without anion corrections at -0.814 eV per atom.

abc: 7.9738 10.5388 5.6421
angles: 90.00 134.90 90.00
With the nearest neighbours (Å) after each atom.
Positions (direct):
1 Li 0.0000 0.0000 0.0000  4 S 2.44
2 Li 0.0000 0.2499 0.5000  4 S 2.49
3 Li 0.5000 0.5000 0.0000  4 S 2.44
4 Li 0.5000 0.7499 0.5000  4 S 2.49
5 Mg 0.0000 0.4998 0.0000  4 S 2.46
6 Mg 0.5000 0.9998 0.0000  4 S 2.46
7 P 0.0000 0.7502 0.5000  4 S 2.20
8 P 0.5000 0.2502 0.5000  4 S 2.20
9 S 0.2272 0.8660 0.9585  1 P 2.20, 1 Li 2.44, 1 Mg 2.46
10 S 0.2301 0.6337 0.5034  1 P 2.20, 1 Li 2.44
11 S 0.2699 0.1337 0.4966  1 P 2.20, 1 Li 2.44
12 S 0.2728 0.3660 0.0415  1 P 2.20, 1 Li 2.44, 1 Mg 2.46
13 S 0.7272 0.3660 0.9585  1 P 2.20, 1 Li 2.44, 1 Mg 2.46
14 S 0.7301 0.1337 0.5034  1 P 2.20, 1 Li 2.44
15 S 0.7699 0.6337 0.4966  1 P 2.20, 1 Li 2.44
16 S 0.7728 0.8660 0.0415  1 P 2.20, 1 Li 2.44, 1 Mg 2.46

***

Record 2
Density functional theory data (PBE) for an optimized crystal structure of KV2SiSb.

Output
The value obtained for the total energy is -4.672 eV per atom. The value obtained for the density of states at the Fermi level is 0.92 states/eV/atom. For the total magnetic moment, the calculation gives 6.860 μB per formula unit. The calculation puts the formation energy without anion corrections at 1.105 eV per atom.

abc: 5.2327 5.2327 5.5376
angles: 90.00 90.00 90.00
With the nearest neighbours (Å) after each atom.
Positions (direct):
1 K 0.0000 0.0000 0.0000  4 Si 3.70, 8 V 3.81
2 V 0.0000 0.5000 0.5000  2 Sb 2.62
3 V 0.5000 0.0000 0.5000  2 Sb 2.62
4 Si 0.5000 0.5000 0.0000  2 Sb 2.77
5 Sb 0.5000 0.5000 0.5000  4 V 2.62, 2 Si 2.77

***

Record 3
Density functional theory data (PBE) for an optimized crystal structure of Ac2ScTlS6.

Output
The value obtained for the total energy is -5.749 eV per atom. For the total magnetic moment, the calculation gives 0.000 μB per formula unit. The calculation puts the formation energy without anion corrections at -1.581 eV per atom.

abc: 6.8520 7.5304 11.8722
angles: 90.00 124.80 90.00
With the nearest neighbours (Å) after each atom.
Positions (direct):
1 Ac 0.2133 0.0970 0.2493  6 S 2.98-3.16
2 Ac 0.2133 0.4030 0.7493  6 S 2.98-3.16
3 Ac 0.7867 0.5970 0.2507  6 S 2.98-3.16
4 Ac 0.7867 0.9030 0.7507  6 S 2.98-3.16
5 Sc 0.5000 0.0000 0.0000  6 S 2.56-2.64
6 Sc 0.5000 0.5000 0.5000  6 S 2.56-2.64
7 Tl 0.0000 0.0000 0.5000  6 S 2.63-2.82
8 Tl 0.0000 0.5000 0.0000  6 S 2.63-2.82
9 S 0.1363 0.1764 0.9449  1 Sc 2.56, 1 Tl 2.82
10 S 0.1363 0.3236 0.4449  1 Sc 2.56, 1 Tl 2.82
11 S 0.2700 0.6959 0.9407  1 Sc 2.64, 1 Tl 2.75
12 S 0.2700 0.8041 0.4407  1 Sc 2.64, 1 Tl 2.75
13 S 0.3789 0.0347 0.7533  1 Sc 2.56, 1 Tl 2.63
14 S 0.3789 0.4653 0.2533  1 Sc 2.56, 1 Tl 2.63
15 S 0.6211 0.5347 0.7467  1 Sc 2.56, 1 Tl 2.63
16 S 0.6211 0.9653 0.2467  1 Sc 2.56, 1 Tl 2.63
17 S 0.7300 0.1959 0.5593  1 Sc 2.64, 1 Tl 2.75
18 S 0.7300 0.3041 0.0593  1 Sc 2.64, 1 Tl 2.75
19 S 0.8637 0.6764 0.5551  1 Sc 2.56, 1 Tl 2.82
20 S 0.8637 0.8236 0.0551  1 Sc 2.56, 1 Tl 2.82

***

Record 4
Density functional theory data (PBE) for an optimized crystal structure of Li3MnTl3Cl8.

Output
The value obtained for the total energy is -3.766 eV per atom. For the total magnetic moment, the calculation gives 5.000 μB per formula unit. The calculation puts the formation energy without anion corrections at -1.313 eV per atom.

abc: 8.6373 8.6373 8.6373
angles: 53.05 53.05 53.05
With the nearest neighbours (Å) after each atom.
Positions (direct):
1 Li 0.0000 0.5000 0.5000  6 Cl 2.63-2.65
2 Li 0.5000 0.0000 0.5000  6 Cl 2.63-2.65
3 Li 0.5000 0.5000 0.0000  6 Cl 2.63-2.65
4 Mn 0.0000 0.0000 0.0000  6 Cl 2.57
5 Tl 0.0000 0.0000 0.5000  6 Cl 3.19-3.21
6 Tl 0.0000 0.5000 0.0000  6 Cl 3.19-3.21
7 Tl 0.5000 0.0000 0.0000  6 Cl 3.19-3.21
8 Cl 0.2241 0.2241 0.7391  1 Mn 2.57, 2 Li 2.65
9 Cl 0.2241 0.7391 0.2241  1 Mn 2.57, 2 Li 2.65
10 Cl 0.2609 0.7759 0.7759  1 Mn 2.57, 2 Li 2.65
11 Cl 0.2707 0.2707 0.2707  3 Li 2.63
12 Cl 0.7293 0.7293 0.7293  3 Li 2.63
13 Cl 0.7391 0.2241 0.2241  1 Mn 2.57, 2 Li 2.65
14 Cl 0.7759 0.2609 0.7759  1 Mn 2.57, 2 Li 2.65
15 Cl 0.7759 0.7759 0.2609  1 Mn 2.57, 2 Li 2.65

***

Record 5
Density functional theory data (PBE) for an optimized crystal structure of MgVRu2.

Output
The value obtained for the total energy is -7.558 eV per atom. The value obtained for the density of states at the Fermi level is 0.77 states/eV/atom. For the total magnetic moment, the calculation gives 0.000 μB per formula unit. Its energy of formation from the pure elements is -0.241 eV/atom.

abc: 3.0219 3.0219 6.3072
angles: 90.00 90.00 90.00
With the nearest neighbours (Å) after each atom.
Positions (direct):
1 Mg 0.0000 0.0000 0.0000  8 Ru 2.74, 4 Mg 3.02
2 V 0.0000 0.0000 0.5000  8 Ru 2.57
3 Ru 0.5000 0.5000 0.2725  4 V 2.57, 4 Mg 2.74, 1 Ru 2.87
4 Ru 0.5000 0.5000 0.7275  4 V 2.57, 4 Mg 2.74, 1 Ru 2.87

***

Record 6
Density functional theory data (PBE) for an optimized crystal structure of Ac3Tl2CdPd6.

Output
The value obtained for the total energy is -4.709 eV per atom. The value obtained for the density of states at the Fermi level is 0.43 states/eV/atom. For the total magnetic moment, the calculation gives 0.000 μB per formula unit. Its energy of formation from the pure elements is -0.615 eV/atom.

abc: 5.9981 5.9981 9.1916
angles: 90.00 90.00 120.00
With the nearest neighbours (Å) after each atom.
Positions (direct):
1 Ac 0.0000 0.0000 0.0000  6 Pd 3.14, 6 Tl 3.46
2 Ac 0.3333 0.6667 0.6200  6 Pd 3.14
3 Ac 0.6667 0.3333 0.3800  6 Pd 3.14
4 Tl 0.3333 0.6667 0.0084  3 Pd 2.97
5 Tl 0.6667 0.3333 0.9916  3 Pd 2.97
6 Cd 0.0000 0.0000 0.5000  6 Pd 2.74
7 Pd 0.1761 0.3523 0.2783  1 Cd 2.74, 2 Pd 2.83, 1 Tl 2.97
8 Pd 0.1761 0.8239 0.2783  1 Cd 2.74, 2 Pd 2.83, 1 Tl 2.97
9 Pd 0.3523 0.1761 0.7217  1 Cd 2.74, 2 Pd 2.83, 1 Tl 2.97
10 Pd 0.6477 0.8239 0.2783  1 Cd 2.74, 2 Pd 2.83, 1 Tl 2.97
11 Pd 0.8239 0.1761 0.7217  1 Cd 2.74, 2 Pd 2.83, 1 Tl 2.97
12 Pd 0.8239 0.6477 0.7217  1 Cd 2.74, 2 Pd 2.83, 1 Tl 2.97

***

Record 7
Density functional theory data (PBE) for an optimized crystal structure of DyZrHgPt.

Output
The value obtained for the total energy is -5.455 eV per atom. The value obtained for the density of states at the Fermi level is 1.29 states/eV/atom. For the total magnetic moment, the calculation gives 0.000 μB per formula unit. Its energy of formation from the pure elements is -0.581 eV/atom.

abc: 7.0322 7.0322 7.0322
angles: 90.00 90.00 90.00
With the nearest neighbours (Å) after each atom.
Positions (direct):
1 Dy 0.0000 0.0000 0.0000  4 Hg 3.05, 4 Pt 3.05
2 Dy 0.0000 0.5000 0.5000  4 Hg 3.05, 4 Pt 3.05
3 Dy 0.5000 0.0000 0.5000  4 Hg 3.05, 4 Pt 3.05
4 Dy 0.5000 0.5000 0.0000  4 Hg 3.05, 4 Pt 3.05
5 Zr 0.0000 0.0000 0.5000  4 Hg 3.05, 4 Pt 3.05
6 Zr 0.0000 0.5000 0.0000  4 Hg 3.05, 4 Pt 3.05
7 Zr 0.5000 0.0000 0.0000  4 Hg 3.05, 4 Pt 3.05
8 Zr 0.5000 0.5000 0.5000  4 Hg 3.05, 4 Pt 3.05
9 Hg 0.2500 0.2500 0.2500  4 Zr 3.05, 4 Dy 3.05
10 Hg 0.2500 0.7500 0.7500  4 Zr 3.05, 4 Dy 3.05
11 Hg 0.7500 0.2500 0.7500  4 Zr 3.05, 4 Dy 3.05
12 Hg 0.7500 0.7500 0.2500  4 Zr 3.05, 4 Dy 3.05
13 Pt 0.2500 0.2500 0.7500  4 Zr 3.05, 4 Dy 3.05
14 Pt 0.2500 0.7500 0.2500  4 Zr 3.05, 4 Dy 3.05
15 Pt 0.7500 0.2500 0.2500  4 Zr 3.05, 4 Dy 3.05
16 Pt 0.7500 0.7500 0.7500  4 Zr 3.05, 4 Dy 3.05

***

Record 8
Density functional theory data (PBE) for an optimized crystal structure of Hf2V2Bi.

Output
The value obtained for the total energy is -8.299 eV per atom. The value obtained for the density of states at the Fermi level is 0.70 states/eV/atom. For the total magnetic moment, the calculation gives 0.000 μB per formula unit. The energy relative to the lowest polymorph listed for this composition comes out at 0.00 kJ per mole of atoms. Its energy of formation from the pure elements is 0.106 eV/atom.

abc: 7.3305 7.3305 3.6667
angles: 90.00 90.00 90.00
With the nearest neighbours (Å) after each atom.
Positions (direct):
1 Hf 0.1862 0.3138 0.0000  6 V 2.86-2.87
2 Hf 0.3138 0.8138 0.0000  6 V 2.86-2.87
3 Hf 0.6862 0.1862 0.0000  6 V 2.86-2.87
4 Hf 0.8138 0.6862 0.0000  6 V 2.86-2.87
5 V 0.1009 0.6009 0.5000  1 V 2.09
6 V 0.3991 0.1009 0.5000  1 V 2.09
7 V 0.6009 0.8991 0.5000  1 V 2.09
8 V 0.8991 0.3991 0.5000  1 V 2.09
9 Bi 0.0000 0.0000 0.5000  4 V 3.02, 8 Hf 3.24
10 Bi 0.5000 0.5000 0.5000  4 V 3.02, 8 Hf 3.24

***

Record 9
Density functional theory data (PBE) for an optimized crystal structure of ReW.

Output
The value obtained for the total energy is -12.565 eV per atom. The value obtained for the density of states at the Fermi level is 0.75 states/eV/atom. For the total magnetic moment, the calculation gives 0.000 μB per formula unit. The energy relative to the lowest polymorph listed for this composition comes out at 4.16 kJ per mole of atoms. Its energy of formation from the pure elements is 0.135 eV/atom.

abc: 6.2964 6.2964 6.2964
angles: 90.00 90.00 90.00
With the nearest neighbours (Å) after each atom.
Positions (direct):
1 Re 0.1250 0.1250 0.1250  4 W 2.73, 4 Re 2.73
2 Re 0.1250 0.6250 0.6250  4 W 2.73, 4 Re 2.73
3 Re 0.3750 0.3750 0.8750  4 W 2.73, 4 Re 2.73
4 Re 0.3750 0.8750 0.3750  4 W 2.73, 4 Re 2.73
5 Re 0.6250 0.1250 0.6250  4 W 2.73, 4 Re 2.73
6 Re 0.6250 0.6250 0.1250  4 W 2.73, 4 Re 2.73
7 Re 0.8750 0.3750 0.3750  4 W 2.73, 4 Re 2.73
8 Re 0.8750 0.8750 0.8750  4 W 2.73, 4 Re 2.73
9 W 0.1250 0.1250 0.6250  4 W 2.73, 4 Re 2.73
10 W 0.1250 0.6250 0.1250  4 W 2.73, 4 Re 2.73
11 W 0.3750 0.3750 0.3750  4 W 2.73, 4 Re 2.73
12 W 0.3750 0.8750 0.8750  4 W 2.73, 4 Re 2.73
13 W 0.6250 0.1250 0.1250  4 W 2.73, 4 Re 2.73
14 W 0.6250 0.6250 0.6250  4 W 2.73, 4 Re 2.73
15 W 0.8750 0.3750 0.8750  4 W 2.73, 4 Re 2.73
16 W 0.8750 0.8750 0.3750  4 Re 2.73, 4 W 2.73

***

Record 10
Density functional theory data (PBE) for an optimized crystal structure of TlIn2CoSb.

Output
The value obtained for the total energy is -3.744 eV per atom. The value obtained for the density of states at the Fermi level is 0.46 states/eV/atom. For the total magnetic moment, the calculation gives 0.000 μB per formula unit. The calculation puts the formation energy without anion corrections at 0.071 eV per atom.

abc: 5.0470 5.0470 4.9660
angles: 90.00 90.00 90.00
With the nearest neighbours (Å) after each atom.
Positions (direct):
1 Tl 0.0000 0.0000 0.0000  8 In 3.54, 4 Sb 3.57
2 In 0.0000 0.5000 0.5000  2 Co 2.52
3 In 0.5000 0.0000 0.5000  2 Co 2.52
4 Co 0.5000 0.5000 0.5000  2 Sb 2.48, 4 In 2.52
5 Sb 0.5000 0.5000 0.0000  2 Co 2.48